# PBE-GGA Ce2NdNpN4, optimized geometry
data_Ce2NdNpN4
_symmetry_space_group_name_H-M 'P 1'
_symmetry_Int_Tables_number 1
_symmetry_space_group_name_Hall 'P 1'
_cell_length_a 6.161
_cell_length_b 6.161
_cell_length_c 6.161
_cell_angle_alpha 131.72
_cell_angle_beta 131.72
_cell_angle_gamma 70.67
loop_
_atom_site_label
_atom_site_type_symbol
_atom_site_fract_x
_atom_site_fract_y
_atom_site_fract_z
Ce1 Ce 0.000 0.000 0.000
Ce2 Ce 0.750 0.250 0.500
Nd1 Nd 0.250 0.750 0.500
Np1 Np 0.500 0.500 0.000
N1 N 0.265 0.265 0.000
N2 N 0.506 0.006 0.500
N3 N 0.735 0.735 0.000
N4 N 0.994 0.494 0.500
# VASP energy   -73.67 eV for the cell shown
# Space-group type   I-4m2, No. 119
# Density of states at the Fermi level   10.1 states/eV per cell
# Formation energy without anion corrections   -31.1 kcal/mol of atoms
# Calculated density   9.335 Mg/m³